Compound: Dy6YSc2
Source: Alexandria via LeMat-Bulk
Functional: PBE-GGA
Structure: relaxed

Results
* excess energy over the best structure of this formula in the dataset: 0.058 eV per atom
* energy of formation: 0.133 eV per atom
* VASP energy: -91.08 eV/cell

a = 6.5258 Å, b = 9.2976 Å, c = 9.2976 Å
α = 88.09°, β = 79.30°, γ = 79.30°
Last column: nearest neighbours and their distance in Å.
Atoms (fractional coordinates):
Dy1 0.4999 0.6157 0.3301  3 Sc 3.14-3.46, 1 Dy 3.15, 1 Y 3.32
Dy2 0.0001 0.6699 0.3843  3 Sc 3.14-3.46, 1 Dy 3.15, 1 Y 3.32
Dy3 0.5001 0.3843 0.6699  3 Sc 3.14-3.46, 1 Dy 3.15, 1 Y 3.32
Dy4 0.9999 0.3301 0.6157  3 Sc 3.14-3.46, 1 Dy 3.15, 1 Y 3.32
Dy5 0.7344 0.0505 0.4624  2 Sc 3.24-3.32, 4 Dy 3.24-3.61, 1 Y 3.51
Dy6 0.7656 0.5376 0.9495  2 Sc 3.24-3.32, 4 Dy 3.24-3.61, 1 Y 3.51
Dy7 0.2656 0.9495 0.5376  2 Sc 3.24-3.32, 4 Dy 3.24-3.61, 1 Y 3.51
Dy8 0.2344 0.4624 0.0505  2 Sc 3.24-3.32, 4 Dy 3.24-3.61, 1 Y 3.51
Dy9 0.3157 0.7910 0.9687  3 Dy 3.10-3.39, 2 Sc 3.25-3.28, 1 Y 3.34
Dy10 0.1843 0.0313 0.2090  3 Dy 3.10-3.39, 2 Sc 3.25-3.28, 1 Y 3.34
Dy11 0.6843 0.2090 0.0313  3 Dy 3.10-3.39, 2 Sc 3.25-3.28, 1 Y 3.34
Dy12 0.8157 0.9687 0.7910  3 Dy 3.10-3.39, 2 Sc 3.25-3.28, 1 Y 3.34
Y1 0.2500 0.1395 0.8605  10 Dy 3.32-3.68
Y2 0.7500 0.8605 0.1395  10 Dy 3.32-3.68
Sc1 0.1258 0.6548 0.7112  7 Dy 3.14-3.46, 2 Sc 3.34
Sc2 0.3742 0.2888 0.3452  7 Dy 3.14-3.46, 2 Sc 3.34
Sc3 0.8742 0.3452 0.2888  7 Dy 3.14-3.46, 2 Sc 3.34
Sc4 0.6258 0.7112 0.6548  7 Dy 3.14-3.46, 2 Sc 3.34